1.
Here is a relaxed Ac2MnZnPt6 crystal from Alexandria. Energies are from PBE.

- Energy of formation: -17.52 kcal/mol of atoms
- Density: 13.50 g/cm3

a = 6.8152 Å, b = 6.8152 Å, c = 8.6257 Å
α = 129.15°, β = 129.15°, γ = 47.81°
Fractional coordinates of all 10 atoms:
Ac: 0.2475 0.2475 0.2907
Ac: 0.7525 0.7525 0.7093
Mn: 0.0000 0.0000 0.5000
Zn: 0.5000 0.5000 0.0000
Pt: 0.2502 0.2502 0.8998
Pt: 0.2496 0.7441 0.2506
Pt: 0.2559 0.7504 0.7494
Pt: 0.7441 0.2496 0.2506
Pt: 0.7504 0.2559 0.7494
Pt: 0.7498 0.7498 0.1002

---

2.
Here is a relaxed AcPu2Mn crystal from Alexandria. Energies are from PBE.

- Energy of formation: 10.05 kcal/mol of atoms
- Density: 11.05 g/cm3
- Energy above the lowest structure with this stoichiometry: 0.89 eV per formula unit

a = 10.5009 Å, b = 10.5009 Å, c = 10.5009 Å
α = 19.75°, β = 19.75°, γ = 19.75°
Fractional coordinates of all 4 atoms:
Ac: 0.0000 0.0000 0.0000
Pu: 0.1122 0.1122 0.1122
Pu: 0.8878 0.8878 0.8878
Mn: 0.5000 0.5000 0.5000

---

3.
Here is a relaxed AcPu2Mn crystal from Alexandria. Energies are from PBE.

- Energy of formation: 4.90 kcal/mol of atoms
- Density: 11.91 g/cm3
- Energy above the lowest structure with this stoichiometry: 0.00 eV per formula unit

a = 3.5301 Å, b = 3.5301 Å, c = 8.6132 Å
α = 90.00°, β = 90.00°, γ = 90.00°
Fractional coordinates of all 4 atoms:
Ac: 0.0000 0.0000 0.0000
Pu: 0.5000 0.5000 0.3191
Pu: 0.5000 0.5000 0.6809
Mn: 0.0000 0.0000 0.5000

---

4.
Here is a relaxed AcPuMn crystal from Alexandria. Energies are from PBE.

- Energy of formation: 7.08 kcal/mol of atoms
- Density: 11.22 g/cm3

a = 9.7664 Å, b = 9.7664 Å, c = 9.7664 Å
α = 116.06°, β = 116.06°, γ = 116.06°
Fractional coordinates of all 18 atoms:
Ac: 0.0528 0.3452 0.3296
Ac: 0.3296 0.0528 0.3452
Ac: 0.3452 0.3296 0.0528
Ac: 0.6548 0.6704 0.9472
Ac: 0.6704 0.9472 0.6548
Ac: 0.9472 0.6548 0.6704
Pu: 0.0132 0.2543 0.6064
Pu: 0.2543 0.6064 0.0132
Pu: 0.3936 0.9868 0.7457
Pu: 0.6064 0.0132 0.2543
Pu: 0.7457 0.3936 0.9868
Pu: 0.9868 0.7457 0.3936
Mn: 0.1069 0.5789 0.1977
Mn: 0.1977 0.1069 0.5789
Mn: 0.4211 0.8023 0.8931
Mn: 0.5789 0.1977 0.1069
Mn: 0.8023 0.8931 0.4211
Mn: 0.8931 0.4211 0.8023

---

> Which value of density does entry 3 give?

11.91 g/cm3

---

> Look up the energy of formation of the first one.

-17.52 kcal/mol of atoms

---

> density of number 1 (Ac2MnZnPt6)?

13.50 g/cm3

---

> The lowest energy of formation belongs to which entry?

Ac2MnZnPt6